No. 1
Here is a relaxed CeCd3 crystal from Alexandria. Energies are from PBEsol.

The magnetization comes out at 3.4 Bohr magnetons per cell. The density of states at the Fermi level comes out at 6.80 states/eV/f.u. Its energy of formation is -0.8 eV per formula unit.

The structure belongs to space group Fm-3m (No. 225); the cell edges are 7.158, 7.158 and 7.158 Å and the angles 90.00°, 90.00° and 90.00°. Symmetry generates all atoms from Ce at (0.000, 0.000, 0.000), Cd at (0.000, 0.000, 0.500) and Cd at (0.250, 0.250, 0.250).


No. 2
Here is a relaxed LiTiSiO4 crystal from Alexandria. Energies are from PBEsol.

For the offset from the most stable computed form, the calculation gives 1.8 kJ per mole of atoms. As for the formation energy from raw total energies: -2.69 eV per atom. The magnetization comes out at 4.0 Bohr magnetons per cell. The density of states at the Fermi level comes out at 2.81 states/eV/f.u.

The structure belongs to space group Pnma (No. 62); the cell edges are 10.197, 5.847 and 4.749 Å and the angles 90.00°, 90.00° and 90.00°. Symmetry generates all atoms from Li at (0.000, 0.000, 0.000), Ti at (0.227, 0.250, 0.500), Si at (0.094, 0.750, 0.443), O at (0.053, 0.250, 0.694), O at (0.098, 0.750, 0.783) and O at (0.174, 0.535, 0.290).